This record from Alexandria via LeMat-Bulk describes crystalline Pu2ZrPa at its relaxed geometry. The functional is GGA-PBE.

Computed properties:
- excess energy over the best structure of this formula in the dataset (meV per atom) = 63
- E_tot (eV per atom) = -11.482
- magnetic moment (μB per cell) = 10.2
- Fermi-level density of states (states/eV per atom) = 3.33

abc: 5.410 5.410 3.197
angles: 90.00 90.00 90.00
Space group P4/mmm (No. 123)
Symmetry-distinct sites (fractional):
Pu 0.000 0.500 0.000 (multiplicity 2)
Zr 0.000 0.000 0.500 (multiplicity 1)
Pa 0.500 0.500 0.500 (multiplicity 1)